Entry 1:
# GGA-PBE Ac12PuCo7, relaxed
data_Ac12PuCo7
_chemical_formula_sum 'Ac36 Pu3 Co21'
_cell_length_a 15.2891
_cell_length_b 15.2891
_cell_length_c 9.3432
_cell_angle_alpha 90.00
_cell_angle_beta 90.00
_cell_angle_gamma 120.00
_symmetry_space_group_name_H-M 'R -3'
_symmetry_Int_Tables_number 148
_symmetry_space_group_name_Hall '-R 3'
loop_
_atom_site_label
_atom_site_type_symbol
_atom_site_fract_x
_atom_site_fract_y
_atom_site_fract_z
_atom_site_occupancy
Ac1 Ac 0.0013 0.4275 0.3354 1
Ac2 Ac 0.0449 0.1654 0.2960 1
Pu1 Pu 0.0000 0.0000 0.0000 1
Co1 Co 0.0000 0.0000 0.5000 1
Co2 Co 0.0450 0.1728 0.9165 1
# Volume (Å³/atom): 31.5
# ρ (g cm⁻³): 8.904
# DFT formation energy (eV per atom): 0.00

---

Entry 2:
# GGA-PBE CoBiPb2C, relaxed
data_CoBiPb2C
_chemical_formula_sum 'Co1 Bi1 Pb2 C1'
_cell_length_a 5.4433
_cell_length_b 5.4433
_cell_length_c 3.5905
_cell_angle_alpha 90.00
_cell_angle_beta 90.00
_cell_angle_gamma 90.00
_symmetry_space_group_name_H-M 'P 4/m m m'
_symmetry_Int_Tables_number 123
_symmetry_space_group_name_Hall '-P 4 2'
loop_
_atom_site_label
_atom_site_type_symbol
_atom_site_fract_x
_atom_site_fract_y
_atom_site_fract_z
_atom_site_occupancy
Co1 Co 0.0000 0.0000 0.0000 1
Bi1 Bi 0.5000 0.5000 0.5000 1
Pb1 Pb 0.0000 0.5000 0.0000 1
C1 C 0.0000 0.0000 0.5000 1
# Volume (Å³/atom): 21.3
# ρ (g cm⁻³): 10.838
# DFT formation energy (eV per atom): 0.59

---

Entry 3:
# GGA-PBE YRe6, relaxed
data_YRe6
_chemical_formula_sum 'Y2 Re12'
_cell_length_a 6.8922
_cell_length_b 6.8922
_cell_length_c 6.8922
_cell_angle_alpha 90.00
_cell_angle_beta 90.00
_cell_angle_gamma 90.00
_symmetry_space_group_name_H-M 'I m -3 m'
_symmetry_Int_Tables_number 229
_symmetry_space_group_name_Hall '-I 4 2 3'
loop_
_atom_site_label
_atom_site_type_symbol
_atom_site_fract_x
_atom_site_fract_y
_atom_site_fract_z
_atom_site_occupancy
Y1 Y 0.0000 0.0000 0.0000 1
Re1 Re 0.0000 0.2500 0.5000 1
# Volume (Å³/atom): 23.4
# ρ (g cm⁻³): 12.235
# DFT formation energy (eV per atom): 1.06

---

Entry 4:
# GGA-PBE Pu2TlSe, relaxed
data_Pu2TlSe
_chemical_formula_sum 'Pu6 Tl3 Se3'
_cell_length_a 3.8815
_cell_length_b 3.8815
_cell_length_c 26.1139
_cell_angle_alpha 90.00
_cell_angle_beta 90.00
_cell_angle_gamma 120.00
_symmetry_space_group_name_H-M 'R -3 m'
_symmetry_Int_Tables_number 166
_symmetry_space_group_name_Hall '-R 3 2"'
loop_
_atom_site_label
_atom_site_type_symbol
_atom_site_fract_x
_atom_site_fract_y
_atom_site_fract_z
_atom_site_occupancy
Pu1 Pu 0.0000 0.0000 0.2381 1
Tl1 Tl 0.0000 0.0000 0.0000 1
Se1 Se 0.0000 0.0000 0.5000 1
# Total energy (eV/atom): -9.215
# Volume (Å³/atom): 28.4
# ρ (g cm⁻³): 11.277

---

Entry 5:
# GGA-PBE Sm2TePb, relaxed
data_Sm2TePb
_chemical_formula_sum 'Sm6 Te3 Pb3'
_cell_length_a 4.4964
_cell_length_b 4.4964
_cell_length_c 22.0836
_cell_angle_alpha 90.00
_cell_angle_beta 90.00
_cell_angle_gamma 120.00
_symmetry_space_group_name_H-M 'R -3 m'
_symmetry_Int_Tables_number 166
_symmetry_space_group_name_Hall '-R 3 2"'
loop_
_atom_site_label
_atom_site_type_symbol
_atom_site_fract_x
_atom_site_fract_y
_atom_site_fract_z
_atom_site_occupancy
Sm1 Sm 0.0000 0.0000 0.2476 1
Te1 Te 0.0000 0.0000 0.0000 1
Pb1 Pb 0.0000 0.0000 0.5000 1
# Total energy (eV/atom): -5.072
# Volume (Å³/atom): 32.2
# ρ (g cm⁻³): 8.187

---

Entry 6:
# GGA-PBE NdHfNi, relaxed
data_NdHfNi
_chemical_formula_sum 'Nd2 Hf2 Ni2'
_cell_length_a 4.5448
_cell_length_b 4.5448
_cell_length_c 6.5550
_cell_angle_alpha 90.00
_cell_angle_beta 90.00
_cell_angle_gamma 90.00
_symmetry_space_group_name_H-M 'P 4/n m m'
_symmetry_Int_Tables_number 129
loop_
_symmetry_equiv_pos_as_xyz
'x,y,z'
'-x,-y,-z'
'-y+1/2,x,z'
'y+1/2,-x,-z'
'-x+1/2,-y+1/2,z'
'x+1/2,y+1/2,-z'
'y,-x+1/2,z'
'-y,x+1/2,-z'
'x+1/2,-y,-z'
'-x+1/2,y,z'
'-y,-x,-z'
'y,x,z'
'-x,y+1/2,-z'
'x,-y+1/2,z'
'y+1/2,x+1/2,-z'
'-y+1/2,-x+1/2,z'
loop_
_atom_site_label
_atom_site_type_symbol
_atom_site_fract_x
_atom_site_fract_y
_atom_site_fract_z
_atom_site_occupancy
Nd1 Nd 0.2500 0.2500 0.1143 1
Hf1 Hf 0.2500 0.7500 0.5000 1
Ni1 Ni 0.2500 0.2500 0.6910 1
# Volume (Å³/atom): 22.6
# ρ (g cm⁻³): 9.356
# DFT formation energy (eV per atom): -0.31

---

Entry 7:
# GGA-PBE NbTlSnO2, relaxed
data_NbTlSnO2
_chemical_formula_sum 'Nb1 Tl1 Sn1 O2'
_cell_length_a 4.1061
_cell_length_b 4.1061
_cell_length_c 5.8152
_cell_angle_alpha 90.00
_cell_angle_beta 90.00
_cell_angle_gamma 90.00
_symmetry_space_group_name_H-M 'P 4/m m m'
_symmetry_Int_Tables_number 123
_symmetry_space_group_name_Hall '-P 4 2'
loop_
_atom_site_label
_atom_site_type_symbol
_atom_site_fract_x
_atom_site_fract_y
_atom_site_fract_z
_atom_site_occupancy
Nb1 Nb 0.0000 0.0000 0.0000 1
Tl1 Tl 0.5000 0.5000 0.0000 1
Sn1 Sn 0.0000 0.0000 0.5000 1
O1 O 0.0000 0.5000 0.5000 1
# Total energy (eV/atom): -5.116
# Volume (Å³/atom): 19.6
# ρ (g cm⁻³): 7.588

---

Entry 8:
# GGA-PBE AcHgTeI, relaxed
data_AcHgTeI
_chemical_formula_sum 'Ac4 Hg4 Te4 I4'
_cell_length_a 8.1550
_cell_length_b 8.1550
_cell_length_c 8.1550
_cell_angle_alpha 90.00
_cell_angle_beta 90.00
_cell_angle_gamma 90.00
_symmetry_space_group_name_H-M 'F -4 3 m'
_symmetry_Int_Tables_number 216
_symmetry_space_group_name_Hall 'F -4 2 3'
loop_
_atom_site_label
_atom_site_type_symbol
_atom_site_fract_x
_atom_site_fract_y
_atom_site_fract_z
_atom_site_occupancy
Ac1 Ac 0.0000 0.0000 0.0000 1
Hg1 Hg 0.0000 0.0000 0.5000 1
Te1 Te 0.2500 0.2500 0.7500 1
I1 I 0.2500 0.2500 0.2500 1
# Total energy (eV/atom): -3.300
# Volume (Å³/atom): 33.9
# ρ (g cm⁻³): 8.354

---

Entry 9:
# GGA-PBE YHoEr5Sc2, relaxed
data_YHoEr5Sc2
_chemical_formula_sum 'Y4 Ho4 Er20 Sc8'
_cell_length_a 5.5407
_cell_length_b 21.2827
_cell_length_c 9.2511
_cell_angle_alpha 90.00
_cell_angle_beta 90.00
_cell_angle_gamma 90.00
_symmetry_space_group_name_H-M 'C m c 21'
_symmetry_Int_Tables_number 36
_symmetry_space_group_name_Hall 'C 2c -2'
loop_
_atom_site_label
_atom_site_type_symbol
_atom_site_fract_x
_atom_site_fract_y
_atom_site_fract_z
_atom_site_occupancy
Y1 Y 0.0000 0.0981 0.0000 1
Ho1 Ho 0.0000 0.3135 0.5974 1
Er1 Er 0.0000 0.0315 0.3292 1
Er2 Er 0.0000 0.1083 0.6263 1
Er3 Er 0.0000 0.1932 0.3008 1
Er4 Er 0.0000 0.2356 0.9155 1
Er5 Er 0.0000 0.4901 0.5971 1
Sc1 Sc 0.0000 0.3609 0.2761 1
Sc2 Sc 0.0000 0.3868 0.9029 1
# Volume (Å³/atom): 30.3
# ρ (g cm⁻³): 7.185
# DFT formation energy (eV per atom): 0.17

---

Entry 10:
# GGA-PBE LuScNiAg, relaxed
data_LuScNiAg
_chemical_formula_sum 'Lu4 Sc4 Ni4 Ag4'
_cell_length_a 6.7558
_cell_length_b 6.7558
_cell_length_c 6.7558
_cell_angle_alpha 90.00
_cell_angle_beta 90.00
_cell_angle_gamma 90.00
_symmetry_space_group_name_H-M 'F -4 3 m'
_symmetry_Int_Tables_number 216
_symmetry_space_group_name_Hall 'F -4 2 3'
loop_
_atom_site_label
_atom_site_type_symbol
_atom_site_fract_x
_atom_site_fract_y
_atom_site_fract_z
_atom_site_occupancy
Lu1 Lu 0.0000 0.0000 0.0000 1
Sc1 Sc 0.0000 0.0000 0.5000 1
Ni1 Ni 0.2500 0.2500 0.2500 1
Ag1 Ag 0.2500 0.2500 0.7500 1
# Volume (Å³/atom): 19.3
# ρ (g cm⁻³): 8.325
# DFT formation energy (eV per atom): -0.34

---

Entry 11:
# GGA-PBE Tb2DyScO6, relaxed
data_Tb2DyScO6
_chemical_formula_sum 'Tb6 Dy3 Sc3 O18'
_cell_length_a 5.7270
_cell_length_b 5.7270
_cell_length_c 14.9256
_cell_angle_alpha 90.00
_cell_angle_beta 90.00
_cell_angle_gamma 120.00
_symmetry_space_group_name_H-M 'R 3'
_symmetry_Int_Tables_number 146
_symmetry_space_group_name_Hall 'R 3'
loop_
_atom_site_label
_atom_site_type_symbol
_atom_site_fract_x
_atom_site_fract_y
_atom_site_fract_z
_atom_site_occupancy
Tb1 Tb 0.0000 0.0000 0.0000 1
Tb2 Tb 0.0000 0.0000 0.4976 1
Dy1 Dy 0.0000 0.0000 0.2789 1
Sc1 Sc 0.0000 0.0000 0.7840 1
O1 O 0.0111 0.7206 0.8841 1
O2 O 0.0183 0.3805 0.0540 1
# Total energy (eV/atom): -8.505
# Volume (Å³/atom): 14.1
# ρ (g cm⁻³): 7.300

---

Entry 12:
# GGA-PBE Na13Tl3, relaxed
data_Na13Tl3
_chemical_formula_sum 'Na26 Tl6'
_cell_length_a 7.8782
_cell_length_b 11.5564
_cell_length_c 11.5570
_cell_angle_alpha 90.00
_cell_angle_beta 90.00
_cell_angle_gamma 90.00
_symmetry_space_group_name_H-M 'A m m 2'
_symmetry_Int_Tables_number 38
_symmetry_space_group_name_Hall 'A 2 -2'
loop_
_atom_site_label
_atom_site_type_symbol
_atom_site_fract_x
_atom_site_fract_y
_atom_site_fract_z
_atom_site_occupancy
Na1 Na 0.0000 0.0000 0.0000 1
Na2 Na 0.0000 0.0000 0.4641 1
Na3 Na 0.0000 0.2317 0.2355 1
Na4 Na 0.2538 0.0000 0.7393 1
Na5 Na 0.2587 0.2401 0.9857 1
Na6 Na 0.5000 0.0000 0.4664 1
Na7 Na 0.5000 0.2351 0.2348 1
Tl1 Tl 0.2602 0.0000 0.2268 1
Tl2 Tl 0.5000 0.0000 0.9826 1
# Volume (Å³/atom): 32.9
# ρ (g cm⁻³): 2.879
# DFT formation energy (eV per atom): -0.04

---

Entry 13:
# GGA-PBE CaLaTe2W, relaxed
data_CaLaTe2W
_chemical_formula_sum 'Ca1 La1 Te2 W1'
_cell_length_a 5.4733
_cell_length_b 5.4733
_cell_length_c 5.4958
_cell_angle_alpha 90.00
_cell_angle_beta 90.00
_cell_angle_gamma 90.00
_symmetry_space_group_name_H-M 'P 4/m m m'
_symmetry_Int_Tables_number 123
_symmetry_space_group_name_Hall '-P 4 2'
loop_
_atom_site_label
_atom_site_type_symbol
_atom_site_fract_x
_atom_site_fract_y
_atom_site_fract_z
_atom_site_occupancy
Ca1 Ca 0.0000 0.0000 0.0000 1
La1 La 0.0000 0.0000 0.5000 1
Te1 Te 0.0000 0.5000 0.0000 1
W1 W 0.5000 0.5000 0.5000 1
# Total energy (eV/atom): -3.784
# Volume (Å³/atom): 32.9
# ρ (g cm⁻³): 6.233

---

Entry 14:
# GGA-PBE Li2MgRe, relaxed
data_Li2MgRe
_chemical_formula_sum 'Li4 Mg2 Re2'
_cell_length_a 5.5466
_cell_length_b 9.5743
_cell_length_c 2.5822
_cell_angle_alpha 90.00
_cell_angle_beta 113.20
_cell_angle_gamma 90.00
_symmetry_space_group_name_H-M 'C 1 2/m 1'
_symmetry_Int_Tables_number 12
_symmetry_space_group_name_Hall '-C 2y'
loop_
_atom_site_label
_atom_site_type_symbol
_atom_site_fract_x
_atom_site_fract_y
_atom_site_fract_z
_atom_site_occupancy
Li1 Li 0.2500 0.2500 0.0000 1
Mg1 Mg 0.0000 0.0000 0.5000 1
Re1 Re 0.0000 0.5000 0.5000 1
# Volume (Å³/atom): 15.8
# ρ (g cm⁻³): 5.913
# DFT formation energy (eV per atom): 0.32

---

Entry 15:
# GGA-PBE HgBiI2F, relaxed
data_HgBiI2F
_chemical_formula_sum 'Hg1 Bi1 I2 F1'
_cell_length_a 6.1989
_cell_length_b 6.1989
_cell_length_c 4.6110
_cell_angle_alpha 90.00
_cell_angle_beta 90.00
_cell_angle_gamma 90.00
_symmetry_space_group_name_H-M 'P 4/m m m'
_symmetry_Int_Tables_number 123
_symmetry_space_group_name_Hall '-P 4 2'
loop_
_atom_site_label
_atom_site_type_symbol
_atom_site_fract_x
_atom_site_fract_y
_atom_site_fract_z
_atom_site_occupancy
Hg1 Hg 0.0000 0.0000 0.0000 1
Bi1 Bi 0.5000 0.5000 0.5000 1
I1 I 0.0000 0.5000 0.5000 1
F1 F 0.5000 0.5000 0.0000 1
# Total energy (eV/atom): -2.564
# Volume (Å³/atom): 35.4
# ρ (g cm⁻³): 6.395

---

Entry 16:
# GGA-PBE Zr2HgCl, relaxed
data_Zr2HgCl
_chemical_formula_sum 'Zr4 Hg2 Cl2'
_cell_length_a 12.0522
_cell_length_b 3.2299
_cell_length_c 4.8487
_cell_angle_alpha 90.00
_cell_angle_beta 113.05
_cell_angle_gamma 90.00
_symmetry_space_group_name_H-M 'C 1 m 1'
_symmetry_Int_Tables_number 8
_symmetry_space_group_name_Hall 'C -2y'
loop_
_atom_site_label
_atom_site_type_symbol
_atom_site_fract_x
_atom_site_fract_y
_atom_site_fract_z
_atom_site_occupancy
Zr1 Zr 0.0000 0.0000 0.0000 1
Zr2 Zr 0.2430 0.5000 0.2291 1
Hg1 Hg 0.1966 0.0000 0.6861 1
Cl1 Cl 0.4343 0.0000 0.4315 1
# Total energy (eV/atom): -5.085
# Volume (Å³/atom): 21.7
# ρ (g cm⁻³): 8.002

---

Entry 17:
# GGA-PBE ReBr4, relaxed
data_ReBr4
_chemical_formula_sum 'Re2 Br8'
_cell_length_a 6.5143
_cell_length_b 6.5143
_cell_length_c 6.5143
_cell_angle_alpha 90.00
_cell_angle_beta 90.00
_cell_angle_gamma 90.00
_symmetry_space_group_name_H-M 'I m -3 m'
_symmetry_Int_Tables_number 229
_symmetry_space_group_name_Hall '-I 4 2 3'
loop_
_atom_site_label
_atom_site_type_symbol
_atom_site_fract_x
_atom_site_fract_y
_atom_site_fract_z
_atom_site_occupancy
Re1 Re 0.0000 0.0000 0.0000 1
Br1 Br 0.2500 0.2500 0.2500 1
# Total energy (eV/atom): -3.198
# Volume (Å³/atom): 27.6
# ρ (g cm⁻³): 6.077

---

Entry 18:
# GGA-PBE Ho7TmTl4, relaxed
data_Ho7TmTl4
_chemical_formula_sum 'Ho14 Tm2 Tl8'
_cell_length_a 14.8961
_cell_length_b 5.7581
_cell_length_c 9.7151
_cell_angle_alpha 90.00
_cell_angle_beta 121.52
_cell_angle_gamma 90.00
_symmetry_space_group_name_H-M 'C 1 2/m 1'
_symmetry_Int_Tables_number 12
_symmetry_space_group_name_Hall '-C 2y'
loop_
_atom_site_label
_atom_site_type_symbol
_atom_site_fract_x
_atom_site_fract_y
_atom_site_fract_z
_atom_site_occupancy
Ho1 Ho 0.0000 0.0000 0.0000 1
Ho2 Ho 0.0685 0.5000 0.4071 1
Ho3 Ho 0.2039 0.5000 0.8792 1
Ho4 Ho 0.2442 0.0000 0.6980 1
Tm1 Tm 0.0000 0.5000 0.0000 1
Tl1 Tl 0.0485 0.0000 0.7108 1
Tl2 Tl 0.1851 0.0000 0.3378 1
# Volume (Å³/atom): 29.6
# ρ (g cm⁻³): 10.010
# DFT formation energy (eV per atom): 0.00

---

Entry 19:
# GGA-PBE Mn3Te2Se, relaxed
data_Mn3Te2Se
_chemical_formula_sum 'Mn6 Te4 Se2'
_cell_length_a 3.9661
_cell_length_b 5.6756
_cell_length_c 11.9551
_cell_angle_alpha 90.00
_cell_angle_beta 90.00
_cell_angle_gamma 90.00
_symmetry_space_group_name_H-M 'I m m m'
_symmetry_Int_Tables_number 71
_symmetry_space_group_name_Hall '-I 2 2'
loop_
_atom_site_label
_atom_site_type_symbol
_atom_site_fract_x
_atom_site_fract_y
_atom_site_fract_z
_atom_site_occupancy
Mn1 Mn 0.0000 0.0000 0.0000 1
Mn2 Mn 0.0000 0.0000 0.3499 1
Te1 Te 0.0000 0.5000 0.3305 1
Se1 Se 0.0000 0.5000 0.0000 1
# Total energy (eV/atom): -6.335
# Volume (Å³/atom): 22.4
# ρ (g cm⁻³): 6.158

---

Entry 20:
# GGA-PBE Rb6Al3H14, relaxed
data_Rb6Al3H14
_chemical_formula_sum 'Rb6 Al3 H14'
_cell_length_a 10.0564
_cell_length_b 10.0564
_cell_length_c 5.1188
_cell_angle_alpha 90.00
_cell_angle_beta 90.00
_cell_angle_gamma 120.00
_symmetry_space_group_name_H-M 'P 3'
_symmetry_Int_Tables_number 143
_symmetry_space_group_name_Hall 'P 3'
loop_
_atom_site_label
_atom_site_type_symbol
_atom_site_fract_x
_atom_site_fract_y
_atom_site_fract_z
_atom_site_occupancy
Rb1 Rb 0.0145 0.5829 0.0000 1
Rb2 Rb 0.3181 0.0828 0.5299 1
Al1 Al 0.0000 0.0000 0.9947 1
Al2 Al 0.3333 0.6667 0.4717 1
Al3 Al 0.6667 0.3333 0.2661 1
H1 H 0.0000 0.0000 0.3155 1
H2 H 0.0644 0.8891 0.8852 1
H3 H 0.2247 0.4902 0.3659 1
H4 H 0.3333 0.6667 0.7931 1
H5 H 0.4965 0.2109 0.0736 1
H6 H 0.5439 0.3807 0.4586 1
# Total energy (eV/atom): -2.954
# Volume (Å³/atom): 19.5
# ρ (g cm⁻³): 2.252